(1)
First-principles (PBE) data for a relaxed CeNdTeS crystal, as listed in Alexandria.

Formation energy (no corrections) ... -1710 meV per atom
Fermi-level density of states ... 1.69 states/eV per atom
Theoretical density ... 6.68 g/cm³

Structure (CIF):
```
data_CeNdTeS
_cell_length_a 4.2157
_cell_length_b 4.2157
_cell_length_c 7.5770
_cell_angle_alpha 73.85
_cell_angle_beta 73.85
_cell_angle_gamma 60.00
_symmetry_space_group_name_H-M 'P 1'
_symmetry_Int_Tables_number 1
loop_
_symmetry_equiv_pos_as_xyz
'x,y,z'
loop_
_atom_site_label
_atom_site_fract_x
_atom_site_fract_y
_atom_site_fract_z
_atom_site_occupancy
Ce1 0.5132 0.5132 0.4603 1
S1 0.2498 0.2498 0.2507 1
Nd1 0.9864 0.9864 0.0407 1
Te1 0.7506 0.7506 0.7483 1
```

(2)
First-principles (PBE) data for a relaxed Ce2Y3PaP6 crystal, as listed in Alexandria.

Fermi-level density of states ... 1.09 states/eV per atom
Formation enthalpy at 0 K ... -1.538 eV/atom
Theoretical density ... 5.77 g/cm³

Structure (CIF):
```
data_Ce2Y3PaP6
_cell_length_a 6.9894
_cell_length_b 6.9894
_cell_length_c 6.9567
_cell_angle_alpha 99.64
_cell_angle_beta 99.64
_cell_angle_gamma 119.98
_symmetry_space_group_name_H-M 'P 1'
_symmetry_Int_Tables_number 1
loop_
_symmetry_equiv_pos_as_xyz
'x,y,z'
loop_
_atom_site_label
_atom_site_fract_x
_atom_site_fract_y
_atom_site_fract_z
_atom_site_occupancy
Ce1 0.3337 0.6663 0.0000 1
Ce2 0.6663 0.3337 0.0000 1
P1 0.0831 0.4093 0.2496 1
P2 0.7573 0.7573 0.2493 1
P3 0.2427 0.2427 0.7507 1
P4 0.5907 0.9169 0.7504 1
P5 0.4093 0.0831 0.2496 1
P6 0.9169 0.5907 0.7504 1
Y1 0.5000 0.5000 0.5000 1
Y2 0.8316 0.1684 0.5000 1
Y3 0.1684 0.8316 0.5000 1
Pa1 0.0000 0.0000 0.0000 1
```